Entry w
MgRuS2N GGA-PBE relaxed; total magnetization = 2.36 μB/cell
1.0
4.7184 0.0000 0.0000
0.0000 4.7184 0.0000
0.0000 0.0000 3.7742
Ru S Mg N
1 2 1 1
Cartesian
2.3592 2.3592 1.8871
0.0000 2.3592 0.0000
2.3592 0.0000 0.0000
0.0000 0.0000 0.0000
0.0000 0.0000 1.8871


Entry x
MgRuS2N GGA-PBE relaxed; total magnetization = 0.00 μB/cell
1.0
-2.3956 3.9569 -1.5013
-4.0843 -1.7095 2.0115
0.8313 1.6880 3.1225
S N Mg Ru
2 1 1 1
Cartesian
-1.1978 1.9784 -0.7507
-2.0421 -0.8548 1.0058
0.4157 0.8440 1.5613
-2.8243 1.9677 1.8164
0.0000 0.0000 0.0000


Of them, entry x has the highest stability.


Entry w
MgRuSe2N GGA-PBE relaxed; total magnetization = 0.00 μB/cell
1.0
5.1489 0.0000 0.0000
0.0000 5.1489 0.0000
0.0000 0.0000 3.6431
Mg N Se Ru
1 1 2 1
Cartesian
2.5745 2.5745 1.8216
0.0000 0.0000 1.8216
2.5745 0.0000 0.0000
0.0000 2.5745 0.0000
0.0000 0.0000 0.0000


Entry x
MgRuSe2N GGA-PBE relaxed; total magnetization = 3.63 μB/cell
1.0
5.0178 0.0000 0.0000
0.0000 5.0178 0.0000
0.0000 0.0000 3.7875
Ru N Mg Se
1 1 1 2
Cartesian
2.5089 2.5089 1.8937
0.0000 0.0000 1.8937
0.0000 0.0000 0.0000
0.0000 2.5089 0.0000
2.5089 0.0000 0.0000


Of them, entry w has the highest stability.


Entry w
MgTe2RuN GGA-PBE relaxed; total magnetization = 3.45 μB/cell
1.0
-3.0838 4.4176 0.6358
-3.3735 -1.8011 -3.8478
-2.0259 -1.7905 2.6143
N Ru Te Mg
1 1 2 1
Cartesian
-1.0130 -0.8953 1.3072
-4.2416 0.4130 -0.2988
-1.5419 2.2088 0.3179
-1.6867 -0.9006 -1.9239
0.0000 0.0000 0.0000


Entry x
MgTe2RuN GGA-PBE relaxed; total magnetization = 0.00 μB/cell
1.0
-4.4132 -1.8742 -2.7726
-2.3765 -1.4757 4.7802
-1.5531 3.2948 0.2450
Ru Mg N Te
1 1 1 2
Cartesian
0.0000 0.0000 0.0000
-4.1714 -0.0275 1.1263
-0.7766 1.6474 0.1225
-1.1882 -0.7378 2.3901
-2.2066 -0.9371 -1.3863


Of them, entry x has the highest stability.


Entry w
MgSN2 GGA-PBE relaxed; total magnetization = 0.00 μB/cell
1.0
4.2488 -1.5255 3.5801
5.6775 -0.5006 0.8437
4.6114 1.6595 3.0294
N S Mg
2 1 1
Cartesian
1.4130 -0.0356 0.7244
13.1247 -0.3310 6.7288
0.0000 0.0000 0.0000
7.2689 -0.1833 3.7266


Entry x
MgSN2 GGA-PBE relaxed; total magnetization = 0.00 μB/cell
1.0
4.4730 0.0000 0.0000
0.0000 4.4730 0.0000
2.2365 2.2365 4.9732
S N Mg
2 4 2
Cartesian
4.4730 2.2365 2.4866
0.0000 0.0000 0.0000
3.3547 3.1533 3.7299
3.5562 1.1182 1.2433
0.9168 3.3547 1.2433
5.5912 5.7927 3.7299
2.2365 2.2365 0.0000
2.2365 4.4730 2.4866


Entry y
MgSN2 GGA-PBE relaxed; total magnetization = 0.00 μB/cell
1.0
-0.5610 -2.6175 -2.8220
-3.6078 -0.8303 -1.1932
-1.2005 1.1563 -3.5144
N Mg S
2 1 1
Cartesian
-1.3423 -0.5729 -1.8824
-4.0270 -1.7186 -5.6473
0.0000 0.0000 0.0000
-2.6847 -1.1458 -3.7648


Of them, entry w has the highest stability.


Entry w
MgScSN2 GGA-PBE relaxed; total magnetization = 1.03 μB/cell
1.0
-0.2370 -1.6882 3.4867
1.2293 -3.3454 -1.5363
4.6684 1.2842 0.9390
Sc S Mg N
1 1 1 2
Cartesian
2.8304 -1.8747 1.4447
2.3342 0.6421 0.4695
0.0000 0.0000 0.0000
-0.1185 -0.8441 1.7433
0.6146 -1.6727 -0.7681


Entry x
MgScSN2 GGA-PBE relaxed; total magnetization = 0.85 μB/cell
1.0
-1.9489 -1.5253 -3.1747
3.5091 -0.5293 -1.8999
0.4000 -4.8760 2.0972
N Mg S Sc
2 1 1 1
Cartesian
-0.9744 -0.7627 -1.5874
1.7546 -0.2646 -0.9499
0.9801 -3.4653 -1.4887
0.2000 -2.4380 1.0486
0.0000 0.0000 0.0000


Of them, entry x has the highest stability.


Entry w
MgSeS2N GGA-PBE relaxed; total magnetization = 0.76 μB/cell
1.0
4.9264 0.0000 0.0000
0.0000 4.9264 0.0000
0.0000 0.0000 3.7000
Se N S Mg
1 1 2 1
Cartesian
0.0000 0.0000 0.0000
0.0000 0.0000 1.8500
0.0000 2.4632 0.0000
2.4632 0.0000 0.0000
2.4632 2.4632 1.8500


Entry x
MgSeS2N GGA-PBE relaxed; total magnetization = 2.15 μB/cell
1.0
4.8973 0.0000 0.0000
0.0000 4.8973 0.0000
0.0000 0.0000 3.9656
Se Mg N S
1 1 1 2
Cartesian
2.4487 2.4487 1.9828
0.0000 0.0000 0.0000
0.0000 0.0000 1.9828
0.0000 2.4487 0.0000
2.4487 0.0000 0.0000


Of them, entry w has the highest stability.


Entry w
MgSe2SN GGA-PBE relaxed; total magnetization = 1.71 μB/cell
1.0
5.1137 0.0000 0.0000
0.0000 5.1137 0.0000
0.0000 0.0000 3.9469
Se Mg N S
2 1 1 1
Cartesian
0.0000 2.5569 0.0000
2.5569 0.0000 0.0000
0.0000 0.0000 0.0000
0.0000 0.0000 1.9735
2.5569 2.5569 1.9735


Entry x
MgSe2SN GGA-PBE relaxed; total magnetization = 0.00 μB/cell
1.0
5.2027 0.0000 0.0000
0.0000 5.2027 0.0000
0.0000 0.0000 3.3590
Se Mg S N
2 1 1 1
Cartesian
2.6014 0.0000 0.0000
0.0000 2.6014 0.0000
2.6014 2.6014 1.6795
0.0000 0.0000 0.0000
0.0000 0.0000 1.6795


Of them, entry x has the highest stability.


Entry w
SrMgS2N GGA-PBE relaxed; total magnetization = 2.93 μB/cell
1.0
5.5519 0.0000 0.0000
0.0000 5.5519 0.0000
0.0000 0.0000 4.7348
S N Sr Mg
2 1 1 1
Cartesian
2.7760 0.0000 0.0000
0.0000 2.7760 0.0000
0.0000 0.0000 2.3674
0.0000 0.0000 0.0000
2.7760 2.7760 2.3674


Entry x
SrMgS2N GGA-PBE relaxed; total magnetization = 2.95 μB/cell
1.0
-3.5574 2.0197 -2.8580
-3.0669 0.1638 3.9332
1.4191 3.8391 0.9467
S N Mg Sr
2 1 1 1
Cartesian
-1.7787 1.0098 -1.4290
-1.5334 0.0819 1.9666
0.7096 1.9196 0.4733
0.0000 0.0000 0.0000
-2.6026 3.0113 1.0109


Of them, entry x has the highest stability.


Entry w
MgTeSN2 GGA-PBE relaxed; total magnetization = 0.00 μB/cell
1.0
-0.4336 -0.5207 3.8865
-3.3965 -1.9040 -0.6340
2.7069 -4.7187 -0.3301
N Te Mg S
2 1 1 1
Cartesian
-1.6983 -0.9520 -0.3170
-0.2168 -0.2603 1.9432
0.0000 0.0000 0.0000
-0.5617 -3.5717 1.4612
1.3534 -2.3593 -0.1651


Entry x
MgTeSN2 GGA-PBE relaxed; total magnetization = 2.89 μB/cell
1.0
-1.9731 3.6272 0.4188
-3.3874 -1.9961 1.3291
1.6462 0.3504 4.7218
Te Mg N S
1 1 2 1
Cartesian
-1.8572 0.9907 3.2348
0.0000 0.0000 0.0000
-1.6937 -0.9981 0.6645
-0.9866 1.8136 0.2094
0.8231 0.1752 2.3609


Entry y
MgTeSN2 GGA-PBE relaxed; total magnetization = 0.50 μB/cell
1.0
3.6929 0.0000 0.0000
0.0000 3.6929 0.0000
0.0000 0.0000 7.5353
S Mg Te N
1 1 1 2
Cartesian
0.0000 0.0000 0.0000
1.8464 1.8464 3.7676
0.0000 0.0000 3.7676
0.0000 1.8464 0.0000
1.8464 0.0000 0.0000


Entry z
MgTeSN2 GGA-PBE relaxed; total magnetization = 4.34 μB/cell
1.0
-3.3280 2.3429 -0.1744
-1.5203 -2.3781 -2.9375
-2.8580 -3.7251 4.4949
N Mg S Te
2 1 1 1
Cartesian
-1.6640 1.1715 -0.0872
-0.7601 -1.1891 -1.4687
0.0000 0.0000 0.0000
-3.8532 -1.8801 0.6915
-1.4290 -1.8625 2.2474


Of them, entry w has the highest stability.


Entry w
MgTeS2N GGA-PBE relaxed; total magnetization = 0.00 μB/cell
1.0
-1.2931 -1.3181 4.2724
3.4556 -2.0072 0.4266
1.9938 3.8108 1.7792
S N Mg Te
2 1 1 1
Cartesian
-0.6466 -0.6591 2.1362
0.9969 1.9054 0.8896
0.0000 0.0000 0.0000
1.7278 -1.0036 0.2133
2.0782 0.2428 3.2391


Entry x
MgTeS2N GGA-PBE relaxed; total magnetization = 2.03 μB/cell
1.0
4.9461 0.0000 0.0000
0.0000 4.9461 0.0000
0.0000 0.0000 3.9851
S Te N Mg
2 1 1 1
Cartesian
2.4730 0.0000 0.0000
0.0000 2.4730 0.0000
2.4730 2.4730 1.9925
0.0000 0.0000 1.9925
0.0000 0.0000 0.0000


Of them, entry w has the highest stability.


Entry w
MgTe2SN GGA-PBE relaxed; total magnetization = 1.32 μB/cell
1.0
5.5337 0.0000 0.0000
0.0000 5.5337 0.0000
0.0000 0.0000 3.8801
Te N S Mg
2 1 1 1
Cartesian
2.7668 0.0000 0.0000
0.0000 2.7668 0.0000
0.0000 0.0000 1.9401
2.7668 2.7668 1.9401
0.0000 0.0000 0.0000


Entry x
MgTe2SN GGA-PBE relaxed; total magnetization = 0.00 μB/cell
1.0
5.7607 0.0000 0.0000
0.0000 5.7607 0.0000
0.0000 0.0000 3.3569
Mg S Te N
1 1 2 1
Cartesian
2.8804 2.8804 1.6785
0.0000 0.0000 0.0000
2.8804 0.0000 0.0000
0.0000 2.8804 0.0000
0.0000 0.0000 1.6785


Of them, entry x has the highest stability.


Entry w
MgTiSN2 GGA-PBE relaxed; total magnetization = 0.33 μB/cell
1.0
-0.5486 -0.9293 3.6772
3.6681 -1.0749 0.2756
1.2287 4.5339 1.3292
Ti Mg N S
1 1 2 1
Cartesian
2.1741 1.2649 2.6410
0.0000 0.0000 0.0000
-0.2743 -0.4646 1.8386
1.8340 -0.5374 0.1378
0.6144 2.2670 0.6646


Entry x
MgTiSN2 GGA-PBE relaxed; total magnetization = 0.14 μB/cell
1.0
-2.4004 1.9188 -2.2740
-1.3681 -3.3064 -1.3458
-3.6262 -0.0428 3.7915
Mg N Ti S
1 2 1 1
Cartesian
-3.6973 -0.7152 0.0859
-1.2002 0.9594 -1.1370
-0.6841 -1.6532 -0.6729
0.0000 0.0000 0.0000
-1.8131 -0.0214 1.8958


Of them, entry x has the highest stability.


Entry w
MgTiS2N GGA-PBE relaxed; total magnetization = 1.01 μB/cell
1.0
-2.2280 1.6709 -3.8932
-4.2309 -1.1067 1.9463
-0.1779 3.5034 1.6054
S Mg Ti N
2 1 1 1
Cartesian
-1.1140 0.8355 -1.9466
-2.1154 -0.5534 0.9731
0.0000 0.0000 0.0000
-3.3184 2.0338 -0.1708
-0.0890 1.7517 0.8027


Entry x
MgTiS2N GGA-PBE relaxed; total magnetization = 0.83 μB/cell
1.0
4.8439 0.0000 0.0000
0.0000 4.8439 0.0000
0.0000 0.0000 3.7827
S N Ti Mg
2 1 1 1
Cartesian
0.0000 2.4219 0.0000
2.4219 0.0000 0.0000
0.0000 0.0000 1.8914
0.0000 0.0000 0.0000
2.4219 2.4219 1.8914


Of them, entry x has the highest stability.